# V2TcW3

A relaxed V2TcW3 crystal (PBE, Alexandria via LeMat-Bulk).

Summary:
For the final energy, the calculation gives -11.37 eV per atom. As for the calculated formation energy: -0.74 eV per formula unit. As for the symmetry: C2/m, No. 12.

a = 4.393 Å, b = 7.586 Å, c = 6.956 Å
α = 123.10°, β = 108.41°, γ = 90.00°
Sites, in units of the cell vectors:
W  0.374  0.370  0.748
W  0.294  0.633  0.588
W  0.959  0.629  0.919
W  0.626  0.630  0.252
W  0.706  0.367  0.412
W  0.041  0.371  0.081
V  0.456  0.121  0.912
V  0.791  0.120  0.582
V  0.209  0.880  0.418
V  0.544  0.879  0.088
Tc  0.875  0.880  0.750
Tc  0.125  0.120  0.250